1.
Al5Bi3Te12 | GGA-PBE | relaxed

Lattice parameters (Å, degrees): 14.995 14.995 14.995 109.47 109.47 109.47
Atoms (fractional coordinates):
1 Al 0.000 0.000 0.000
2 Al 0.000 0.000 0.500
3 Al 0.000 0.500 0.000
4 Al 0.000 0.500 0.500
5 Al 0.125 0.750 0.875
6 Al 0.125 0.875 0.250
7 Al 0.250 0.125 0.875
8 Al 0.250 0.625 0.375
9 Al 0.375 0.250 0.625
10 Al 0.375 0.625 0.750
11 Al 0.500 0.000 0.000
12 Al 0.500 0.000 0.500
13 Al 0.500 0.500 0.000
14 Al 0.500 0.500 0.500
15 Al 0.625 0.375 0.250
16 Al 0.625 0.750 0.375
17 Al 0.750 0.375 0.625
18 Al 0.750 0.875 0.125
19 Al 0.875 0.125 0.750
20 Al 0.875 0.250 0.125
21 Bi 0.125 0.250 0.375
22 Bi 0.125 0.375 0.750
23 Bi 0.250 0.375 0.125
24 Bi 0.250 0.875 0.625
25 Bi 0.375 0.125 0.250
26 Bi 0.375 0.750 0.125
27 Bi 0.625 0.250 0.875
28 Bi 0.625 0.875 0.750
29 Bi 0.750 0.125 0.375
30 Bi 0.750 0.625 0.875
31 Bi 0.875 0.625 0.250
32 Bi 0.875 0.750 0.625
33 Te 0.032 0.208 0.122
34 Te 0.032 0.324 0.909
35 Te 0.086 0.708 0.676
36 Te 0.086 0.878 0.409
37 Te 0.091 0.622 0.414
38 Te 0.091 0.968 0.676
39 Te 0.122 0.032 0.208
40 Te 0.122 0.591 0.914
41 Te 0.176 0.208 0.586
42 Te 0.176 0.468 0.591
43 Te 0.208 0.122 0.032
44 Te 0.208 0.586 0.176
45 Te 0.292 0.324 0.914
46 Te 0.292 0.468 0.378
47 Te 0.324 0.909 0.032
48 Te 0.324 0.914 0.292
49 Te 0.378 0.292 0.468
50 Te 0.378 0.586 0.909
51 Te 0.409 0.086 0.878
52 Te 0.409 0.824 0.532
53 Te 0.414 0.091 0.622
54 Te 0.414 0.824 0.792
55 Te 0.468 0.378 0.292
56 Te 0.468 0.591 0.176
57 Te 0.532 0.409 0.824
58 Te 0.532 0.622 0.708
59 Te 0.586 0.176 0.208
60 Te 0.586 0.909 0.378
61 Te 0.591 0.176 0.468
62 Te 0.591 0.914 0.122
63 Te 0.622 0.414 0.091
64 Te 0.622 0.708 0.532
65 Te 0.676 0.086 0.708
66 Te 0.676 0.091 0.968
67 Te 0.708 0.532 0.622
68 Te 0.708 0.676 0.086
69 Te 0.792 0.414 0.824
70 Te 0.792 0.878 0.968
71 Te 0.824 0.532 0.409
72 Te 0.824 0.792 0.414
73 Te 0.878 0.409 0.086
74 Te 0.878 0.968 0.792
75 Te 0.909 0.032 0.324
76 Te 0.909 0.378 0.586
77 Te 0.914 0.122 0.591
78 Te 0.914 0.292 0.324
79 Te 0.968 0.676 0.091
80 Te 0.968 0.792 0.878

Computed properties:
Its space group is Ia-3d (230).

---

2.
Ac2MgUSe6 | GGA-PBE | relaxed

Lattice parameters (Å, degrees): 7.490 7.494 7.652 60.70 60.74 60.08
Atoms (fractional coordinates):
1 Ac 0.000 0.000 0.000
2 Ac 0.497 0.497 0.511
3 Mg 0.284 0.285 0.147
4 U 0.787 0.788 0.640
5 Se 0.057 0.434 0.875
6 Se 0.145 0.937 0.365
7 Se 0.433 0.635 0.875
8 Se 0.555 0.146 0.364
9 Se 0.633 0.058 0.875
10 Se 0.937 0.555 0.365

Computed properties:
Its space group is P1 (1). As for the density of states at the Fermi level: 5.58 states/eV/cell.

---

3.
Ac5LaSe6 | GGA-PBE | relaxed

Lattice parameters (Å, degrees): 7.705 7.705 7.686 99.69 99.69 120.10
Atoms (fractional coordinates):
1 Ac 0.000 0.000 0.000
2 Ac 0.166 0.834 0.500
3 Ac 0.332 0.668 0.000
4 Ac 0.668 0.332 0.000
5 Ac 0.834 0.166 0.500
6 La 0.500 0.500 0.500
7 Se 0.090 0.418 0.254
8 Se 0.255 0.255 0.748
9 Se 0.418 0.090 0.254
10 Se 0.582 0.910 0.746
11 Se 0.745 0.745 0.252
12 Se 0.910 0.582 0.746

Computed properties:
Its space group is C2/m (12). As for the density of states at the Fermi level: 6.30 states/eV/cell.

---

no.,V (Å³/atom),calculated total energy (eV/atom)
1,32.44,-3.64
2,30.71,-5.74
3,30.97,-5.75